Entry from Alexandria: an optimized crystal structure of LaErGe2Pd5 (PBE).

Cell: 4.2996 4.2996 9.1081 Å, 90.00 90.00 90.00°
Space group P4/mmm (No. 123)
Symmetry-distinct sites (fractional):
La (0.0000, 0.0000, 0.0000)
Er (0.0000, 0.0000, 0.5000)
Ge (0.5000, 0.5000, 0.3668)
Pd (0.0000, 0.5000, 0.2320)
Pd (0.5000, 0.5000, 0.0000)

Calculated values
The value obtained for the energy relative to the elements is -0.78 eV per atom. The crystal system is tetragonal. The calculation puts the volume at 18.71 A^3/atom.


Entry from Alexandria: an optimized crystal structure of NaNp2RhO8 (PBE).

Cell: 6.6950 6.9028 6.8926 Å, 90.00 90.00 90.00°
Space group Cmmm (No. 65)
Symmetry-distinct sites (fractional):
Na (0.0000, 0.0000, 0.0000)
Np (0.0000, 0.5000, 0.2523)
Rh (0.0000, 0.0000, 0.5000)
O (0.0000, 0.3002, 0.5000)
O (0.0000, 0.3236, 0.0000)
O (0.2058, 0.0000, 0.2794)

Calculated values
The crystal system is orthorhombic. The calculation puts the volume at 13.27 A^3/atom. The value obtained for the formation energy from raw total energies is -2.1655 eV/atom.


Entry from Alexandria: an optimized crystal structure of MnMo2PdRu (PBE).

Cell: 4.4159 4.4159 4.3873 Å, 90.00 90.00 90.00°
Space group P4/mmm (No. 123)
Symmetry-distinct sites (fractional):
Mn (0.0000, 0.0000, 0.0000)
Mo (0.0000, 0.5000, 0.0000)
Pd (0.5000, 0.5000, 0.5000)
Ru (0.0000, 0.0000, 0.5000)

Calculated values
The value obtained for the energy relative to the elements is 1.07 eV per atom. The crystal system is tetragonal. The calculation puts the volume at 17.11 A^3/atom.


Entry from Alexandria: an optimized crystal structure of CuIrPdSe5 (PBE).

Cell: 7.7616 11.2416 8.1306 Å, 90.00 105.25 90.00°
Space group C2/c (No. 15)
Symmetry-distinct sites (fractional):
Cu (0.0000, 0.0711, 0.2500)
Ir (0.0000, 0.4493, 0.2500)
Pd (0.2500, 0.2500, 0.0000)
Se (0.0000, 0.3297, 0.7500)
Se (0.0444, 0.2583, 0.4206)
Se (0.2391, 0.4673, 0.0856)

Calculated values
The crystal system is monoclinic. The calculation puts the volume at 21.39 A^3/atom. The value obtained for the formation energy from raw total energies is -0.0219 eV/atom.


Entry from Alexandria: an optimized crystal structure of SmHoCo (PBE).

Cell: 6.4112 6.7234 6.9321 Å, 90.00 98.77 90.00°
Space group P2_1/c (No. 14)
Symmetry-distinct sites (fractional):
Sm (0.1744, 0.1637, 0.3422)
Ho (0.3256, 0.6820, 0.4882)
Co (0.4314, 0.0452, 0.6817)

Calculated values
The value obtained for the energy relative to the elements is -0.12 eV per atom. The crystal system is monoclinic. The calculation puts the volume at 24.61 A^3/atom. The energy above the most stable polymorph in this dataset comes out at 0.0 meV/atom.


Entry from Alexandria: an optimized crystal structure of Ca3Sm3AgTe8 (PBE).

Cell: 8.9079 8.9079 21.9959 Å, 90.00 90.00 120.00°
Space group R-3m (No. 166, hexagonal axes)
Symmetry-distinct sites (fractional):
Ca (0.0000, 0.5000, 0.0000)
Sm (0.0000, 0.5000, 0.5000)
Ag (0.0000, 0.0000, 0.5000)
Te (0.0000, 0.0000, 0.2497)
Te (0.0006, 0.5003, 0.7523)

Calculated values
The crystal system is trigonal. The calculation puts the volume at 33.59 A^3/atom. The value obtained for the formation energy from raw total energies is -1.2898 eV/atom.


- What is the formula in the fifth record?
  SmHoCo